# CaGa4NiO8 | Alexandria via LeMat-Bulk | GGA+U | optimized geometry
# uncorrected energy = -5.8876 eV/atom
# magnetic moment = 2.00 μB per formula unit
data_CaGa4NiO8
_cell_length_a 6.0803
_cell_length_b 6.0803
_cell_length_c 14.9823
_cell_angle_alpha 90.00
_cell_angle_beta 90.00
_cell_angle_gamma 120.00
_symmetry_space_group_name_H-M 'R 3 m'
_symmetry_Int_Tables_number 160
_symmetry_space_group_name_Hall 'R 3 -2"'
loop_
_atom_site_label
_atom_site_fract_x
_atom_site_fract_y
_atom_site_fract_z
Ca1 0.0000 0.0000 0.0000
Ga1 0.0000 0.0000 0.2434
Ga2 0.1721 0.3443 0.4552
Ni1 0.0000 0.0000 0.6258
O1 0.0000 0.0000 0.3772
O2 0.0000 0.0000 0.8580
O3 0.0434 0.5217 0.3830
O4 0.1748 0.3496 0.2002